Crystalline RbTlNiO2 at its relaxed geometry, computed with GGA+U.

Raw total energy = -2.99 eV per atom
V = 91.1 Å³ per cell
DOS(E_F) = 0.6 states/eV per cell

a b c (Å): 4.2818 4.2818 4.9705
angles (deg): 90.00 90.00 90.00
Closest atoms and distances in Å follow each position.
Space group P4/mmm (No. 123)
Asymmetric unit:
Rb  0.0000  0.0000  0.0000 [1 per cell]  2 Ni 2.49
Tl  0.5000  0.5000  0.0000 [1 per cell]  4 Rb 3.03, 8 O 3.28
Ni  0.0000  0.0000  0.5000 [1 per cell]  4 O 2.14
O  0.0000  0.5000  0.5000 [2 per cell]  2 Ni 2.14